(1)
A geometry-optimized Tb2Th2S7 structure. Source: Alexandria via LeMat-Bulk, functional PBE.

Unit cell a=4.0585 b=8.4848 c=8.4848 alpha=61.68 beta=76.16 gamma=76.16
Closest atoms and distances in Å follow each position.
Fractional coordinates of all 11 atoms:
Tb: 0.0000 0.7947 0.2053  4 S 2.71-2.78
Tb: 0.5000 0.3347 0.6653  7 S 2.79-2.84
Th: 0.7378 0.8428 0.6816  7 S 2.75-3.03
Th: 0.2622 0.3184 0.1572  7 S 2.75-3.03
S: 0.8149 0.0697 0.3005  1 Tb 2.71, 3 Th 2.75-2.86
S: 0.8625 0.4205 0.8545  2 Tb 2.83, 3 Th 3.03-3.12
S: 0.5000 0.0134 0.9866  3 Tb 2.78-2.79
S: 0.6115 0.4959 0.2812  3 Tb 2.84-3.03, 2 Th 2.94, 1 S 3.12
S: 0.3885 0.7188 0.5041  3 Tb 2.84-3.03, 2 Th 2.94, 1 S 3.12
S: 0.1851 0.6995 0.9303  1 Tb 2.71, 3 Th 2.75-2.86
S: 0.1375 0.1455 0.5795  2 Tb 2.83, 3 Th 3.03-3.12

Symmetry: No. 44
M_tot in μB/f.u.: 0.00
Energy relative to the elements, uncorrected in eV per atom: -2.01


(2)
A geometry-optimized NbCuS2Cl structure. Source: Alexandria via LeMat-Bulk, functional PBE.

Unit cell a=4.8128 b=4.8128 c=4.8624 alpha=90.00 beta=90.00 gamma=90.00
Closest atoms and distances in Å follow each position.
Fractional coordinates of all 5 atoms:
Nb: 0.0000 0.0000 0.0000  4 S 2.41, 2 Cl 2.43
S: 0.0000 0.5000 0.0000  2 Nb 2.41
S: 0.5000 0.0000 0.0000  2 Nb 2.41
Cu: 0.5000 0.5000 0.5000  4 Cl 3.40, 8 S 3.42
Cl: 0.0000 0.0000 0.5000  2 Nb 2.43

Symmetry: No. 123
M_tot in μB/f.u.: 0.00
Energy relative to the elements, uncorrected in eV per atom: -0.08
ΔE to the lowest computed polymorph in meV per atom: 0